A plane-wave DFT calculation with meta-GGA SCAN was carried out for a PBEsol-optimized structure of Na2GeS3.

Properties
crystal system: monoclinic
E_tot: -10.381 eV per atom
uncorrected formation energy: -980 meV/atom

a = 6.785 Å, b = 15.350 Å, c = 5.741 Å
α = 90.00°, β = 113.16°, γ = 90.00°
Space group P2_1/c (No. 14)
One atom of each set of equivalent atoms:
Na: 0.049 0.168 0.017 [4 per cell]
Na: 0.278 0.529 0.165 [4 per cell]
Ge: 0.453 0.171 0.647 [4 per cell]
S: 0.113 0.145 0.549 [4 per cell]
S: 0.323 0.566 0.674 [4 per cell]
S: 0.472 0.692 0.202 [4 per cell]